A relaxed NbBTe2I crystal. Source: the Alexandria database, functional PBE-GGA.

```
5
Lattice="5.3821 0.0000 0.0000 0.0000 5.3821 0.0000 0.0000 0.0000 5.7870" Properties=species:S:1:pos:R:3 pbc="T T T"
Nb 0.0000 0.0000 0.0000
B 2.6910 2.6910 2.8935
Te 0.0000 2.6910 0.0000
Te 2.6910 0.0000 0.0000
I 0.0000 0.0000 2.8935
```

* excess energy over the best structure of this formula in the dataset: 0.087 eV/atom
* uncorrected energy: -3.85 eV/atom
* density of states at the Fermi level: 5.11 states/eV/cell
* space group: P4/mmm
* magnetic moment: 0.91 μB per formula unit